(1)
# Pu2Sb7Pd12

Pu2Sb7Pd12 after structural relaxation (PBE, Alexandria).

Cell and atoms, written as POSCAR:
```
Pu2Sb7Pd12
1.0
10.6060 0.0000 0.0000
-5.3030 9.1851 0.0000
0.0000 0.0000 4.2730
Pu Sb Pd
2 7 12
direct
0.3333 0.6667 0.2373 Pu
0.6667 0.3333 0.7627 Pu
0.0000 0.0000 0.5000 Sb
0.1200 0.4112 0.7342 Sb
0.2912 0.8800 0.7342 Sb
0.4112 0.2912 0.2658 Sb
0.5888 0.7088 0.7342 Sb
0.7088 0.1200 0.2658 Sb
0.8800 0.5888 0.2658 Sb
0.0528 0.6192 0.7567 Pd
0.1156 0.8576 0.2220 Pd
0.1424 0.2580 0.2220 Pd
0.2580 0.1156 0.7780 Pd
0.3808 0.4336 0.7567 Pd
0.4336 0.0528 0.2433 Pd
0.5664 0.9472 0.7567 Pd
0.6192 0.5664 0.2433 Pd
0.7420 0.8844 0.2220 Pd
0.8576 0.7420 0.7780 Pd
0.8844 0.1424 0.7780 Pd
0.9472 0.3808 0.2433 Pd
```

SG: No. 147
Formation energy without anion corrections: -0.516 eV per atom

***

(2)
# CaAuIN2

CaAuIN2 after structural relaxation (PBE, Alexandria).

Cell and atoms, written as POSCAR:
```
CaAuIN2
1.0
4.2223 0.0000 0.0000
0.0000 4.2223 0.0000
0.0000 0.0000 6.4785
Ca Au I N
1 1 1 2
direct
0.0000 0.0000 0.0000 Ca
0.5000 0.5000 0.5000 Au
0.5000 0.5000 0.0000 I
0.0000 0.5000 0.5000 N
0.5000 0.0000 0.5000 N
```

SG: No. 123
Formation energy without anion corrections: 1.026 eV per atom

***

(3)
# CsBaAu3

CsBaAu3 after structural relaxation (PBE, Alexandria).

Cell and atoms, written as POSCAR:
```
CsBaAu3
1.0
2.2062 -15.3622 0.0000
2.2062 15.3622 0.0000
0.0000 0.0000 4.9948
Cs Ba Au
2 2 6
direct
0.2032 0.7968 0.7500 Cs
0.7968 0.2032 0.2500 Cs
0.0684 0.9316 0.2500 Ba
0.9316 0.0684 0.7500 Ba
0.3432 0.6568 0.7500 Au
0.3887 0.6113 0.2500 Au
0.4802 0.5198 0.2500 Au
0.5198 0.4802 0.7500 Au
0.6113 0.3887 0.7500 Au
0.6568 0.3432 0.2500 Au
```

SG: No. 63
Energy of formation: -0.537 eV per atom

***

(4)
# GeIrSe2

GeIrSe2 after structural relaxation (PBE, Alexandria).

Cell and atoms, written as POSCAR:
```
GeIrSe2
1.0
3.6899 0.0000 0.0000
-1.8450 3.1956 0.0000
0.0000 0.0000 24.4527
Ge Ir Se
3 3 6
direct
0.0000 0.0000 0.0000 Ge
0.3333 0.6667 0.6667 Ge
0.6667 0.3333 0.3333 Ge
0.0000 0.0000 0.5000 Ir
0.3333 0.6667 0.1667 Ir
0.6667 0.3333 0.8333 Ir
0.0000 0.0000 0.1138 Se
0.0000 0.0000 0.8862 Se
0.3333 0.6667 0.5529 Se
0.3333 0.6667 0.7805 Se
0.6667 0.3333 0.2195 Se
0.6667 0.3333 0.4471 Se
```

SG: No. 166
Formation energy without anion corrections: 0.015 eV per atom

***

(5)
# ErSbPd14

ErSbPd14 after structural relaxation (PBE, Alexandria).

Cell and atoms, written as POSCAR:
```
ErSbPd14
1.0
5.7274 0.0000 0.0000
0.0000 5.7274 0.0000
0.0000 0.0000 7.8785
Er Sb Pd
1 1 14
direct
0.0000 0.0000 0.0000 Er
0.5000 0.5000 0.0000 Sb
0.0000 0.0000 0.5000 Pd
0.0000 0.5000 0.0000 Pd
0.0000 0.5000 0.5000 Pd
0.2520 0.2520 0.2534 Pd
0.2520 0.2520 0.7466 Pd
0.2520 0.7480 0.2534 Pd
0.2520 0.7480 0.7466 Pd
0.5000 0.0000 0.0000 Pd
0.5000 0.0000 0.5000 Pd
0.5000 0.5000 0.5000 Pd
0.7480 0.2520 0.2534 Pd
0.7480 0.2520 0.7466 Pd
0.7480 0.7480 0.2534 Pd
0.7480 0.7480 0.7466 Pd
```

SG: No. 123
Formation energy without anion corrections: -0.317 eV per atom

***

(6)
# CrCuAs2

CrCuAs2 after structural relaxation (PBE, Alexandria).

Cell and atoms, written as POSCAR:
```
CrCuAs2
1.0
3.9232 0.0000 0.0000
0.0000 4.5867 0.0000
0.0000 0.0000 6.9147
Cr Cu As
2 2 4
direct
0.0000 0.0000 0.0000 Cr
0.5000 0.5000 0.0000 Cr
0.0000 0.0000 0.5000 Cu
0.5000 0.5000 0.5000 Cu
0.0000 0.5000 0.2387 As
0.0000 0.5000 0.7613 As
0.5000 0.0000 0.2387 As
0.5000 0.0000 0.7613 As
```

SG: No. 65
Energy of formation: 0.207 eV per atom

***

(7)
# Nd4IrBr2Cl

Nd4IrBr2Cl after structural relaxation (PBE, Alexandria).

Cell and atoms, written as POSCAR:
```
Nd4IrBr2Cl
1.0
7.4119 0.0000 0.0000
0.0000 4.1268 0.0000
-2.4767 0.0000 7.5838
Nd Ir Br Cl
4 1 2 1
direct
0.2108 0.0000 0.2067 Nd
0.2504 0.5000 0.7955 Nd
0.7496 0.5000 0.2045 Nd
0.7892 0.0000 0.7933 Nd
0.0000 0.5000 0.0000 Ir
0.0000 0.0000 0.5000 Br
0.5000 0.5000 0.5000 Br
0.5000 0.0000 0.0000 Cl
```

SG: No. 10
Formation energy without anion corrections: -1.147 eV per atom

***

(8)
# Pa3Co2Rh2

Pa3Co2Rh2 after structural relaxation (PBE, Alexandria).

Cell and atoms, written as POSCAR:
```
Pa3Co2Rh2
1.0
-4.0430 4.0430 4.0430
4.0430 -4.0430 4.0430
4.0430 4.0430 -4.0430
Pa Co Rh
6 4 4
direct
0.1460 0.7500 0.8960 Pa
0.2500 0.6040 0.3540 Pa
0.3540 0.2500 0.6040 Pa
0.6040 0.3540 0.2500 Pa
0.7500 0.8960 0.1460 Pa
0.8960 0.1460 0.7500 Pa
0.0000 0.3518 0.5000 Co
0.1482 0.1482 0.1482 Co
0.3518 0.5000 0.0000 Co
0.5000 0.0000 0.3518 Co
0.0000 0.8207 0.5000 Rh
0.5000 0.0000 0.8207 Rh
0.6793 0.6793 0.6793 Rh
0.8207 0.5000 0.0000 Rh
```

SG: No. 199
Energy of formation: -0.503 eV per atom

***

What did the fifth record say?
# ErSbPd14

ErSbPd14 after structural relaxation (PBE, Alexandria).

Cell and atoms, written as POSCAR:
```
ErSbPd14
1.0
5.7274 0.0000 0.0000
0.0000 5.7274 0.0000
0.0000 0.0000 7.8785
Er Sb Pd
1 1 14
direct
0.0000 0.0000 0.0000 Er
0.5000 0.5000 0.0000 Sb
0.0000 0.0000 0.5000 Pd
0.0000 0.5000 0.0000 Pd
0.0000 0.5000 0.5000 Pd
0.2520 0.2520 0.2534 Pd
0.2520 0.2520 0.7466 Pd
0.2520 0.7480 0.2534 Pd
0.2520 0.7480 0.7466 Pd
0.5000 0.0000 0.0000 Pd
0.5000 0.0000 0.5000 Pd
0.5000 0.5000 0.5000 Pd
0.7480 0.2520 0.2534 Pd
0.7480 0.2520 0.7466 Pd
0.7480 0.7480 0.2534 Pd
0.7480 0.7480 0.7466 Pd
```

SG: No. 123
Formation energy without anion corrections: -0.317 eV per atom